PBE Pr2Zn3Pd12Pt, relaxed; electronic total energy = -4.625 eV/atom; volume = 20.42 Å³/atom; space group = R-3m (166)
1.0
4.108 2.372 6.286
-4.108 2.372 6.286
0.000 -4.744 6.286
Pr Zn Pd Pt
2 3 12 1
Cartesian
0.000 0.000 2.155
0.000 0.000 16.701
-2.054 -1.186 6.286
-2.054 1.186 12.571
0.000 2.372 6.286
-2.176 -1.256 8.759
0.000 -2.330 5.470
-2.017 1.165 5.470
0.000 -2.512 10.098
-2.176 1.256 10.098
-2.017 -1.165 13.387
2.017 1.165 5.470
2.176 -1.256 8.759
0.000 2.512 8.759
2.017 -1.165 13.387
0.000 2.330 13.387
2.176 1.256 10.098
0.000 0.000 9.428